A relaxed Tb2SmCd3 crystal. Source: the Alexandria database, functional PBE.

## Properties
- Electronic total energy: -3.10 eV/atom

Cell: 5.319 8.415 7.616 Å, 90.00 90.00 71.57°
Element x y z (fractional)
Cd1 0.165 0.670 0.745
Cd2 0.835 0.330 0.255
Cd3 0.500 0.000 0.255
Cd4 0.500 0.000 0.745
Cd5 0.165 0.670 0.255
Cd6 0.835 0.330 0.745
Sm1 0.334 0.332 0.000
Sm2 0.666 0.668 0.000
Tb1 0.000 0.000 0.500
Tb2 0.000 0.000 0.000
Tb3 0.332 0.335 0.500
Tb4 0.668 0.665 0.500

***

A relaxed TbSm5Cd6 crystal. Source: the Alexandria database, functional PBE.

## Properties
- Electronic total energy: -3.13 eV/atom

Cell: 5.361 7.665 8.478 Å, 90.00 71.57 90.00°
Element x y z (fractional)
Sm1 0.334 0.000 0.333
Sm2 0.332 0.500 0.335
Sm3 0.000 0.500 0.000
Sm4 0.668 0.500 0.665
Sm5 0.666 0.000 0.667
Cd1 0.835 0.248 0.330
Cd2 0.165 0.752 0.670
Cd3 0.165 0.248 0.670
Cd4 0.835 0.752 0.330
Cd5 0.500 0.247 0.000
Cd6 0.500 0.753 0.000
Tb1 0.000 0.000 0.000

***

A relaxed Tb6SmCd crystal. Source: the Alexandria database, functional PBE.

## Properties
- Electronic total energy: -4.13 eV/atom

Cell: 9.306 8.595 6.330 Å, 47.26 42.70 57.22°
Element x y z (fractional)
Sm1 0.500 0.500 0.500
Cd1 0.000 0.000 0.000
Tb1 0.759 0.959 0.730
Tb2 0.041 0.448 0.752
Tb3 0.241 0.041 0.270
Tb4 0.959 0.552 0.248
Tb5 0.552 0.241 0.167
Tb6 0.448 0.759 0.833

***

A relaxed Tb6SmCd2 crystal. Source: the Alexandria database, functional PBE.

## Properties
- Electronic total energy: -3.87 eV/atom

Cell: 6.102 9.614 9.614 Å, 72.86 85.39 85.39°
Element x y z (fractional)
Tb1 0.991 0.433 0.680
Tb2 0.337 0.900 0.647
Tb3 0.509 0.320 0.567
Tb4 0.311 0.730 0.030
Tb5 0.811 0.030 0.730
Tb6 0.189 0.970 0.270
Tb7 0.009 0.567 0.320
Tb8 0.163 0.353 0.100
Tb9 0.663 0.100 0.353
Tb10 0.837 0.647 0.900
Tb11 0.689 0.270 0.970
Tb12 0.491 0.680 0.433
Cd1 0.594 0.461 0.211
Cd2 0.094 0.211 0.461
Cd3 0.906 0.789 0.539
Cd4 0.406 0.539 0.789
Sm1 0.750 0.898 0.102
Sm2 0.250 0.102 0.898

***

A relaxed Tb3Sm12Cd crystal. Source: the Alexandria database, functional PBE.

## Properties
- Electronic total energy: -4.47 eV/atom

Cell: 5.051 5.051 20.409 Å, 90.00 90.00 90.00°
Element x y z (fractional)
Sm1 0.500 0.000 0.626
Sm2 0.500 0.000 0.879
Sm3 0.000 0.500 0.626
Sm4 0.500 0.500 0.000
Sm5 0.500 0.000 0.121
Sm6 0.500 0.500 0.245
Sm7 0.000 0.500 0.121
Sm8 0.500 0.000 0.374
Sm9 0.000 0.500 0.374
Sm10 0.500 0.500 0.500
Sm11 0.000 0.500 0.879
Sm12 0.500 0.500 0.755
Tb1 0.000 0.000 0.752
Tb2 0.000 0.000 0.248
Tb3 0.000 0.000 0.500
Cd1 0.000 0.000 0.000

***

A relaxed Tb2Sm2Cd crystal. Source: the Alexandria database, functional PBE.

## Properties
- Electronic total energy: -4.04 eV/atom

Cell: 3.617 3.617 11.961 Å, 98.70 98.70 90.00°
Element x y z (fractional)
Tb1 0.412 0.412 0.825
Tb2 0.588 0.588 0.175
Sm1 0.805 0.805 0.610
Sm2 0.195 0.195 0.390
Cd1 0.000 0.000 0.000